Entry 1:
Ce4Tl3Ga | PBE | relaxed

Lattice parameters (Å, degrees): 10.1750 10.1750 4.3968 97.07 97.07 28.19
Last column: nearest neighbours and their distance in Å.
Element x y z (fractional)
1 Ce 0.1119 0.1119 0.0676  1 Ce 2.79, 2 Ga 3.09-3.12
2 Ce 0.2356 0.2356 0.8232  3 Ce 2.79-2.94
3 Ce 0.7644 0.7644 0.1768  3 Ce 2.79-2.94
4 Ce 0.8881 0.8881 0.9324  1 Ce 2.79, 2 Ga 3.09-3.12
5 Tl 0.3687 0.3687 0.4237  8 Ce 3.32-3.48, 2 Tl 3.38-3.39, 2 Ga 3.57
6 Tl 0.5000 0.5000 0.0000  4 Ce 3.31, 4 Ga 3.31, 4 Tl 3.38-3.39
7 Tl 0.6313 0.6313 0.5763  8 Ce 3.32-3.48, 2 Tl 3.38-3.39, 2 Ga 3.57
8 Ga 0.0000 0.0000 0.5000  4 Ce 3.09-3.12, 4 Tl 3.31

Calculated values
- formation enthalpy at 0 K (eV/atom) = -0.1758
- ρ (g cm⁻³) = 9.7
- symmetry = C2/m (12)

---

Entry 2:
Ce6YTh8 | PBE | relaxed

Lattice parameters (Å, degrees): 9.3486 9.3486 6.4315 90.00 90.00 120.00
Last column: nearest neighbours and their distance in Å.
Element x y z (fractional)
1 Ce 0.0654 0.6450 0.1271  1 Ce 2.86
2 Ce 0.3550 0.4204 0.1271  1 Ce 2.86
3 Ce 0.4204 0.0654 0.8729  1 Ce 2.86
4 Ce 0.5796 0.9346 0.1271  1 Ce 2.86
5 Ce 0.6450 0.5796 0.8729  1 Ce 2.86
6 Ce 0.9346 0.3550 0.8729  1 Ce 2.86
7 Y 0.0000 0.0000 0.0000  6 Th 3.59, 6 Ce 3.75
8 Th 0.0078 0.7121 0.6376  3 Th 3.25-3.29, 4 Ce 3.31-3.44, 1 Y 3.59
9 Th 0.2879 0.2957 0.6376  3 Th 3.25-3.29, 4 Ce 3.31-3.44, 1 Y 3.59
10 Th 0.2957 0.0078 0.3624  3 Th 3.25-3.29, 4 Ce 3.31-3.44, 1 Y 3.59
11 Th 0.3333 0.6667 0.5998  3 Th 3.29
12 Th 0.6667 0.3333 0.4002  3 Th 3.29
13 Th 0.7043 0.9922 0.6376  3 Th 3.25-3.29, 4 Ce 3.31-3.44, 1 Y 3.59
14 Th 0.7121 0.7043 0.3624  3 Th 3.25-3.29, 4 Ce 3.31-3.44, 1 Y 3.59
15 Th 0.9922 0.2879 0.3624  3 Th 3.25-3.29, 4 Ce 3.31-3.44, 1 Y 3.59

Calculated values
- formation enthalpy at 0 K (eV/atom) = 0.2743
- ρ (g cm⁻³) = 9.5
- symmetry = P-3 (147)

---

Entry 3:
MgNpPd2 | PBE | relaxed

Lattice parameters (Å, degrees): 3.2183 3.2183 7.1398 90.00 90.00 90.00
Last column: nearest neighbours and their distance in Å.
Element x y z (fractional)
1 Mg 0.0000 0.0000 0.0000  8 Pd 2.75
2 Np 0.0000 0.0000 0.5000  8 Pd 3.04, 4 Np 3.22
3 Pd 0.5000 0.5000 0.2169  4 Mg 2.75, 4 Np 3.04
4 Pd 0.5000 0.5000 0.7831  4 Mg 2.75, 4 Np 3.04

Calculated values
- formation enthalpy at 0 K (eV/atom) = -0.3881
- ρ (g cm⁻³) = 10.6
- symmetry = P4/mmm (123)

---

Entry 4:
Fe8Re3W | PBE | relaxed

Lattice parameters (Å, degrees): 4.6374 4.6374 7.6969 90.00 90.00 120.00
Last column: nearest neighbours and their distance in Å.
Element x y z (fractional)
1 Fe 0.0000 0.0000 0.0000  6 Fe 2.36-2.37
2 Fe 0.0000 0.0000 0.5001  6 Fe 2.35-2.36
3 Fe 0.1701 0.3402 0.2515  6 Fe 2.27-2.37
4 Fe 0.1701 0.8299 0.2515  6 Fe 2.27-2.37
5 Fe 0.3401 0.1700 0.7499  6 Fe 2.27-2.37
6 Fe 0.6598 0.8299 0.2515  6 Fe 2.27-2.37
7 Fe 0.8300 0.1700 0.7499  6 Fe 2.27-2.37
8 Fe 0.8300 0.6599 0.7499  6 Fe 2.27-2.37
9 Re 0.3333 0.6667 0.5656  12 Fe 2.72-2.75, 4 Re 2.82-2.85
10 Re 0.3333 0.6667 0.9323  12 Fe 2.71-2.78, 1 Re 2.82, 3 W 2.87
11 Re 0.6667 0.3333 0.4370  12 Fe 2.72-2.74, 3 Re 2.85, 1 W 2.86
12 W 0.6667 0.3333 0.0656  12 Fe 2.72-2.76, 4 Re 2.86-2.87

Calculated values
- formation enthalpy at 0 K (eV/atom) = -0.0195
- ρ (g cm⁻³) = 13.8
- symmetry = P3m1 (156)